The following is a DFT calculation (PBE) of crystalline Ni2MoPb at its relaxed geometry.

Calculated values
ΔH_f (0 K) ... 447 meV/atom
E ... -6.079 eV/atom
DOS at the Fermi energy ... 9.73 states/eV/cell

Cell and atoms, written as CIF:
```
data_Ni2MoPb
_chemical_formula_sum 'Ni4 Mo2 Pb2'
_cell_length_a 3.021
_cell_length_b 4.491
_cell_length_c 8.992
_cell_angle_alpha 90.00
_cell_angle_beta 90.00
_cell_angle_gamma 90.00
_space_group_name_H-M_alt 'I m m 2'
_space_group_IT_number 44
loop_
_space_group_symop_operation_xyz
'x,y,z'
'-x,-y,z'
'-x,y,z'
'x,-y,z'
'x+1/2,y+1/2,z+1/2'
'-x+1/2,-y+1/2,z+1/2'
'-x+1/2,y+1/2,z+1/2'
'x+1/2,-y+1/2,z+1/2'
loop_
_atom_site_label
_atom_site_fract_x
_atom_site_fract_y
_atom_site_fract_z
Ni1 0.000 0.000 0.000
Ni2 0.000 0.500 0.279
Mo1 0.000 0.000 0.523
Pb1 0.000 0.500 0.747
```